Computed, not measured: an optimized crystal structure of Ca2SbRh2 at the PBE-GGA level of DFT.

CIF file:
```
data_Ca2SbRh2
_cell_length_a 5.642
_cell_length_b 5.642
_cell_length_c 7.674
_cell_angle_alpha 90.00
_cell_angle_beta 90.00
_cell_angle_gamma 90.00
_symmetry_space_group_name_H-M 'I 4/m m m'
_symmetry_Int_Tables_number 139
_symmetry_space_group_name_Hall '-I 4 2'
loop_
_atom_site_label
_atom_site_fract_x
_atom_site_fract_y
_atom_site_fract_z
Ca1 0.000 0.500 0.250
Sb1 0.000 0.000 0.000
Rh1 0.000 0.000 0.329
```

Distance to the lowest polymorph of the same formula (meV/atom): 428.7
ΔE_f (raw) (eV/atom): -0.2830
Magnetization (μB per formula unit): 0.0

---

Computed, not measured: an optimized crystal structure of Ta2CoCuH at the PBE-GGA level of DFT.

CIF file:
```
data_Ta2CoCuH
_cell_length_a 4.057
_cell_length_b 4.057
_cell_length_c 3.691
_cell_angle_alpha 90.00
_cell_angle_beta 90.00
_cell_angle_gamma 90.00
_symmetry_space_group_name_H-M 'P 4/m m m'
_symmetry_Int_Tables_number 123
_symmetry_space_group_name_Hall '-P 4 2'
loop_
_atom_site_label
_atom_site_fract_x
_atom_site_fract_y
_atom_site_fract_z
Ta1 0.000 0.500 0.000
Co1 0.000 0.000 0.500
Cu1 0.500 0.500 0.500
H1 0.000 0.000 0.000
```

Distance to the lowest polymorph of the same formula (meV/atom): 0.0
Magnetization (μB per formula unit): 0.0

---

Computed, not measured: an optimized crystal structure of Pm2PuWN4 at the PBE-GGA level of DFT.

CIF file:
```
data_Pm2PuWN4
_cell_length_a 3.404
_cell_length_b 12.073
_cell_length_c 12.425
_cell_angle_alpha 90.00
_cell_angle_beta 90.00
_cell_angle_gamma 90.00
_symmetry_space_group_name_H-M 'C m c m'
_symmetry_Int_Tables_number 63
_symmetry_space_group_name_Hall '-C 2c 2'
loop_
_atom_site_label
_atom_site_fract_x
_atom_site_fract_y
_atom_site_fract_z
Pm1 0.000 0.130 0.038
Pu1 0.000 0.415 0.250
W1 0.000 0.326 0.750
N1 0.000 0.065 0.250
N2 0.000 0.230 0.629
N3 0.000 0.500 0.000
```

ΔE_f (raw) (eV/atom): -0.8998
Magnetization (μB per formula unit): 5.4

---

Repeat the first record exactly.
Computed, not measured: an optimized crystal structure of Ca2SbRh2 at the PBE-GGA level of DFT.

CIF file:
```
data_Ca2SbRh2
_cell_length_a 5.642
_cell_length_b 5.642
_cell_length_c 7.674
_cell_angle_alpha 90.00
_cell_angle_beta 90.00
_cell_angle_gamma 90.00
_symmetry_space_group_name_H-M 'I 4/m m m'
_symmetry_Int_Tables_number 139
_symmetry_space_group_name_Hall '-I 4 2'
loop_
_atom_site_label
_atom_site_fract_x
_atom_site_fract_y
_atom_site_fract_z
Ca1 0.000 0.500 0.250
Sb1 0.000 0.000 0.000
Rh1 0.000 0.000 0.329
```

Distance to the lowest polymorph of the same formula (meV/atom): 428.7
ΔE_f (raw) (eV/atom): -0.2830
Magnetization (μB per formula unit): 0.0